First-principles (PBE-GGA) data for a geometry-optimized Nb3CoH3 structure, as listed in Alexandria via LeMat-Bulk.

CIF file:
```
data_Nb3CoH3
_chemical_formula_sum 'Nb6 Co2 H6'
_symmetry_space_group_name_H-M 'P 1'
_symmetry_Int_Tables_number 1
_symmetry_space_group_name_Hall 'P 1'
_cell_length_a 5.3494
_cell_length_b 5.3494
_cell_length_c 5.3494
_cell_angle_alpha 90.00
_cell_angle_beta 90.00
_cell_angle_gamma 90.00
loop_
_atom_site_label
_atom_site_type_symbol
_atom_site_fract_x
_atom_site_fract_y
_atom_site_fract_z
_atom_site_occupancy
Nb1 Nb 0.0000 0.2500 0.5000 1
Nb2 Nb 0.0000 0.7500 0.5000 1
Nb3 Nb 0.2500 0.5000 0.0000 1
Nb4 Nb 0.5000 0.0000 0.2500 1
Nb5 Nb 0.5000 0.0000 0.7500 1
Nb6 Nb 0.7500 0.5000 0.0000 1
Co1 Co 0.0000 0.0000 0.0000 1
Co2 Co 0.5000 0.5000 0.5000 1
H1 H 0.0000 0.5000 0.2500 1
H2 H 0.0000 0.5000 0.7500 1
H3 H 0.2500 0.0000 0.5000 1
H4 H 0.5000 0.2500 0.0000 1
H5 H 0.5000 0.7500 0.0000 1
H6 H 0.7500 0.0000 0.5000 1
```

Symmetry: Pm-3n, No. 223

First-principles (PBE-GGA) data for a geometry-optimized NbCo3H structure, as listed in Alexandria via LeMat-Bulk.

CIF file:
```
data_NbCo3H
_chemical_formula_sum 'Nb2 Co6 H2'
_symmetry_space_group_name_H-M 'P 1'
_symmetry_Int_Tables_number 1
_symmetry_space_group_name_Hall 'P 1'
_cell_length_a 5.2982
_cell_length_b 5.2982
_cell_length_c 4.2224
_cell_angle_alpha 91.05
_cell_angle_beta 91.05
_cell_angle_gamma 58.36
loop_
_atom_site_label
_atom_site_type_symbol
_atom_site_fract_x
_atom_site_fract_y
_atom_site_fract_z
_atom_site_occupancy
Nb1 Nb 0.1796 0.1796 0.2348 1
Nb2 Nb 0.8204 0.8204 0.7652 1
Co1 Co 0.1757 0.6658 0.2478 1
Co2 Co 0.3342 0.8243 0.7522 1
Co3 Co 0.3416 0.3416 0.7521 1
Co4 Co 0.6584 0.6584 0.2479 1
Co5 Co 0.6658 0.1757 0.2478 1
Co6 Co 0.8243 0.3342 0.7522 1
H1 H 0.0000 0.0000 0.5000 1
H2 H 0.5000 0.5000 0.5000 1
```

Energy above the most stable polymorph in this dataset, meV per atom: 14.9
Symmetry: C2/m, No. 12

First-principles (PBE-GGA) data for a geometry-optimized NbCo3H structure, as listed in Alexandria via LeMat-Bulk.

CIF file:
```
data_NbCo3H
_chemical_formula_sum 'Nb1 Co3 H1'
_symmetry_space_group_name_H-M 'P 1'
_symmetry_Int_Tables_number 1
_symmetry_space_group_name_Hall 'P 1'
_cell_length_a 3.4310
_cell_length_b 3.4310
_cell_length_c 5.6975
_cell_angle_alpha 90.00
_cell_angle_beta 90.00
_cell_angle_gamma 90.00
loop_
_atom_site_label
_atom_site_type_symbol
_atom_site_fract_x
_atom_site_fract_y
_atom_site_fract_z
_atom_site_occupancy
Nb1 Nb 0.0000 0.0000 0.0000 1
Co1 Co 0.0000 0.0000 0.6042 1
Co2 Co 0.0000 0.5000 0.3103 1
Co3 Co 0.5000 0.0000 0.3103 1
H1 H 0.5000 0.5000 0.3832 1
```

Energy above the most stable polymorph in this dataset, meV per atom: 839.6
Symmetry: P4mm, No. 99

First-principles (PBE-GGA) data for a geometry-optimized NbCo3H structure, as listed in Alexandria via LeMat-Bulk.

CIF file:
```
data_NbCo3H
_chemical_formula_sum 'Nb2 Co6 H2'
_symmetry_space_group_name_H-M 'P 1'
_symmetry_Int_Tables_number 1
_symmetry_space_group_name_Hall 'P 1'
_cell_length_a 5.3544
_cell_length_b 5.3544
_cell_length_c 4.2035
_cell_angle_alpha 90.00
_cell_angle_beta 90.00
_cell_angle_gamma 122.99
loop_
_atom_site_label
_atom_site_type_symbol
_atom_site_fract_x
_atom_site_fract_y
_atom_site_fract_z
_atom_site_occupancy
Nb1 Nb 0.1894 0.8106 0.7500 1
Nb2 Nb 0.8106 0.1894 0.2500 1
Co1 Co 0.1828 0.3352 0.7500 1
Co2 Co 0.3352 0.1828 0.2500 1
Co3 Co 0.3488 0.6512 0.2500 1
Co4 Co 0.6512 0.3488 0.7500 1
Co5 Co 0.6648 0.8172 0.7500 1
Co6 Co 0.8172 0.6648 0.2500 1
H1 H 0.0000 0.0000 0.0000 1
H2 H 0.0000 0.0000 0.5000 1
```

Energy above the most stable polymorph in this dataset, meV per atom: 28.0
Symmetry: Cmcm, No. 63

First-principles (PBE-GGA) data for a geometry-optimized NbCo3H structure, as listed in Alexandria via LeMat-Bulk.

CIF file:
```
data_NbCo3H
_chemical_formula_sum 'Nb2 Co6 H2'
_symmetry_space_group_name_H-M 'P 1'
_symmetry_Int_Tables_number 1
_symmetry_space_group_name_Hall 'P 1'
_cell_length_a 5.2609
_cell_length_b 5.2609
_cell_length_c 4.2221
_cell_angle_alpha 90.00
_cell_angle_beta 90.00
_cell_angle_gamma 120.00
loop_
_atom_site_label
_atom_site_type_symbol
_atom_site_fract_x
_atom_site_fract_y
_atom_site_fract_z
_atom_site_occupancy
Nb1 Nb 0.0000 0.0000 0.0000 1
Nb2 Nb 0.3333 0.6667 0.5066 1
Co1 Co 0.3410 0.1705 0.5039 1
Co2 Co 0.5123 0.0246 0.9983 1
Co3 Co 0.5123 0.4877 0.9983 1
Co4 Co 0.8295 0.1705 0.5039 1
Co5 Co 0.8295 0.6590 0.5039 1
Co6 Co 0.9754 0.4877 0.9983 1
H1 H 0.3333 0.6667 0.0141 1
H2 H 0.6667 0.3333 0.2793 1
```

Energy above the most stable polymorph in this dataset, meV per atom: 19.1
Symmetry: P3m1, No. 156

First-principles (PBE-GGA) data for a geometry-optimized NbCo3H3 structure, as listed in Alexandria via LeMat-Bulk.

CIF file:
```
data_NbCo3H3
_chemical_formula_sum 'Nb2 Co6 H6'
_symmetry_space_group_name_H-M 'P 1'
_symmetry_Int_Tables_number 1
_symmetry_space_group_name_Hall 'P 1'
_cell_length_a 4.8421
_cell_length_b 4.8421
_cell_length_c 4.8421
_cell_angle_alpha 90.00
_cell_angle_beta 90.00
_cell_angle_gamma 90.00
loop_
_atom_site_label
_atom_site_type_symbol
_atom_site_fract_x
_atom_site_fract_y
_atom_site_fract_z
_atom_site_occupancy
Nb1 Nb 0.0000 0.0000 0.0000 1
Nb2 Nb 0.5000 0.5000 0.5000 1
Co1 Co 0.0000 0.2500 0.5000 1
Co2 Co 0.0000 0.7500 0.5000 1
Co3 Co 0.2500 0.5000 0.0000 1
Co4 Co 0.5000 0.0000 0.2500 1
Co5 Co 0.5000 0.0000 0.7500 1
Co6 Co 0.7500 0.5000 0.0000 1
H1 H 0.0000 0.5000 0.2500 1
H2 H 0.0000 0.5000 0.7500 1
H3 H 0.2500 0.0000 0.5000 1
H4 H 0.5000 0.2500 0.0000 1
H5 H 0.5000 0.7500 0.0000 1
H6 H 0.7500 0.0000 0.5000 1
```

Symmetry: Pm-3n, No. 223

First-principles (PBE-GGA) data for a geometry-optimized NbCo3H structure, as listed in Alexandria via LeMat-Bulk.

CIF file:
```
data_NbCo3H
_chemical_formula_sum 'Nb1 Co3 H1'
_symmetry_space_group_name_H-M 'P 1'
_symmetry_Int_Tables_number 1
_symmetry_space_group_name_Hall 'P 1'
_cell_length_a 4.5011
_cell_length_b 4.5011
_cell_length_c 4.5011
_cell_angle_alpha 90.00
_cell_angle_beta 90.00
_cell_angle_gamma 90.00
loop_
_atom_site_label
_atom_site_type_symbol
_atom_site_fract_x
_atom_site_fract_y
_atom_site_fract_z
_atom_site_occupancy
Nb1 Nb 0.0000 0.0000 0.0000 1
Co1 Co 0.0000 0.0000 0.5000 1
Co2 Co 0.0000 0.5000 0.0000 1
Co3 Co 0.5000 0.0000 0.0000 1
H1 H 0.5000 0.5000 0.5000 1
```

Energy above the most stable polymorph in this dataset, meV per atom: 2251.5
Symmetry: Pm-3m, No. 221

First-principles (PBE-GGA) data for a geometry-optimized NbCoH3 structure, as listed in Alexandria via LeMat-Bulk.

CIF file:
```
data_NbCoH3
_chemical_formula_sum 'Nb1 Co1 H3'
_symmetry_space_group_name_H-M 'P 1'
_symmetry_Int_Tables_number 1
_symmetry_space_group_name_Hall 'P 1'
_cell_length_a 3.5365
_cell_length_b 3.5365
_cell_length_c 3.5365
_cell_angle_alpha 90.00
_cell_angle_beta 90.00
_cell_angle_gamma 90.00
loop_
_atom_site_label
_atom_site_type_symbol
_atom_site_fract_x
_atom_site_fract_y
_atom_site_fract_z
_atom_site_occupancy
Nb1 Nb 0.0000 0.0000 0.0000 1
Co1 Co 0.5000 0.5000 0.5000 1
H1 H 0.0000 0.0000 0.5000 1
H2 H 0.0000 0.5000 0.0000 1
H3 H 0.5000 0.0000 0.0000 1
```

Symmetry: Pm-3m, No. 221

First-principles (PBE-GGA) data for a geometry-optimized NbCoH2 structure, as listed in Alexandria via LeMat-Bulk.

CIF file:
```
data_NbCoH2
_chemical_formula_sum 'Nb3 Co3 H6'
_symmetry_space_group_name_H-M 'P 1'
_symmetry_Int_Tables_number 1
_symmetry_space_group_name_Hall 'P 1'
_cell_length_a 2.8477
_cell_length_b 2.8477
_cell_length_c 14.6550
_cell_angle_alpha 90.00
_cell_angle_beta 90.00
_cell_angle_gamma 120.00
loop_
_atom_site_label
_atom_site_type_symbol
_atom_site_fract_x
_atom_site_fract_y
_atom_site_fract_z
_atom_site_occupancy
Nb1 Nb 0.0000 0.0000 0.0000 1
Nb2 Nb 0.3333 0.6667 0.6667 1
Nb3 Nb 0.6667 0.3333 0.3333 1
Co1 Co 0.0000 0.0000 0.5000 1
Co2 Co 0.3333 0.6667 0.1667 1
Co3 Co 0.6667 0.3333 0.8333 1
H1 H 0.0000 0.0000 0.1335 1
H2 H 0.0000 0.0000 0.8665 1
H3 H 0.3333 0.6667 0.5332 1
H4 H 0.3333 0.6667 0.8002 1
H5 H 0.6667 0.3333 0.1998 1
H6 H 0.6667 0.3333 0.4668 1
```

Energy above the most stable polymorph in this dataset, meV per atom: 183.3
Symmetry: R-3m, No. 166

First-principles (PBE-GGA) data for a geometry-optimized NbCo3H structure, as listed in Alexandria via LeMat-Bulk.

CIF file:
```
data_NbCo3H
_chemical_formula_sum 'Nb2 Co6 H2'
_symmetry_space_group_name_H-M 'P 1'
_symmetry_Int_Tables_number 1
_symmetry_space_group_name_Hall 'P 1'
_cell_length_a 6.9101
_cell_length_b 6.9101
_cell_length_c 4.3336
_cell_angle_alpha 90.00
_cell_angle_beta 90.00
_cell_angle_gamma 139.85
loop_
_atom_site_label
_atom_site_type_symbol
_atom_site_fract_x
_atom_site_fract_y
_atom_site_fract_z
_atom_site_occupancy
Nb1 Nb 0.2005 0.7995 0.7500 1
Nb2 Nb 0.7995 0.2005 0.2500 1
Co1 Co 0.0000 0.0000 0.0000 1
Co2 Co 0.0000 0.0000 0.5000 1
Co3 Co 0.1146 0.3877 0.7500 1
Co4 Co 0.3877 0.1146 0.2500 1
Co5 Co 0.6123 0.8854 0.7500 1
Co6 Co 0.8854 0.6123 0.2500 1
H1 H 0.4482 0.5518 0.7500 1
H2 H 0.5518 0.4482 0.2500 1
```

Energy above the most stable polymorph in this dataset, meV per atom: 635.1
Symmetry: Cmcm, No. 63

First-principles (PBE-GGA) data for a geometry-optimized NbCo3H structure, as listed in Alexandria via LeMat-Bulk.

CIF file:
```
data_NbCo3H
_chemical_formula_sum 'Nb2 Co6 H2'
_symmetry_space_group_name_H-M 'P 1'
_symmetry_Int_Tables_number 1
_symmetry_space_group_name_Hall 'P 1'
_cell_length_a 4.7239
_cell_length_b 4.7239
_cell_length_c 4.7239
_cell_angle_alpha 91.18
_cell_angle_beta 91.18
_cell_angle_gamma 91.18
loop_
_atom_site_label
_atom_site_type_symbol
_atom_site_fract_x
_atom_site_fract_y
_atom_site_fract_z
_atom_site_occupancy
Nb1 Nb 0.0000 0.0000 0.0000 1
Nb2 Nb 0.5000 0.5000 0.5000 1
Co1 Co 0.0164 0.7500 0.4836 1
Co2 Co 0.2500 0.5164 0.9836 1
Co3 Co 0.4836 0.0164 0.7500 1
Co4 Co 0.5164 0.9836 0.2500 1
Co5 Co 0.7500 0.4836 0.0164 1
Co6 Co 0.9836 0.2500 0.5164 1
H1 H 0.2500 0.2500 0.2500 1
H2 H 0.7500 0.7500 0.7500 1
```

Energy above the most stable polymorph in this dataset, meV per atom: 175.7
Symmetry: R-3c, No. 167

E_tot, respectively: -0.250; -0.261; -0.231; -0.261; -0.261; -0.217; -0.179; -0.183; -0.218; -0.239; -0.255 hartree per atom.
Density of states at the Fermi level, respectively: 4.7; 1.8; 6.2; 1.8; 1.9; 6.6; 6.3; 5.6; 1.4; 3.8; 4.5 states/eV/f.u..